An optimized crystal structure of LiHfFeAs. Source: the Open Quantum Materials Database, functional GGA-PBE.

Computed properties:
Its space group is F-43m (216). As for the calculated density: 8.50 g cm⁻³. The uncorrected energy is -25.6 eV per cell.

abc: 4.437 4.437 4.437
angles: 60.00 60.00 60.00
Fractional positions:
As 0.000 0.000 0.000
Fe 0.500 0.500 0.500
Hf 0.250 0.250 0.250
Li 0.750 0.750 0.750